1.
First-principles (PBE) data for ZnMoIr3 after structural relaxation, as listed in the Alexandria database.

Lattice parameters (Å, degrees): 4.7244 4.7244 4.7244 90.00 90.00 90.00
Last column: nearest neighbours and their distance in Å.
Atoms (fractional coordinates):
Mo 0.0000 0.0000 0.0000  6 Ir 2.36
Ir 0.0000 0.5000 0.0000  2 Mo 2.36
Ir 0.5000 0.0000 0.0000  2 Mo 2.36
Ir 0.0000 0.0000 0.5000  2 Mo 2.36
Zn 0.5000 0.5000 0.5000  12 Ir 3.34

## Properties
**Space-group type**: Pm-3m, No. 221
**Total energy**: -30.78 eV per cell
**E above lowest polymorph**: 38 meV/atom


2.
First-principles (PBE) data for Zn2MoIr after structural relaxation, as listed in the Alexandria database.

Lattice parameters (Å, degrees): 8.8822 8.8822 8.8822 18.15 18.15 18.15
Last column: nearest neighbours and their distance in Å.
Atoms (fractional coordinates):
Ir 0.2500 0.2500 0.2500  6 Zn 2.66, 6 Ir 2.80
Mo 0.7500 0.7500 0.7500  6 Zn 2.78, 6 Mo 2.80
Zn 0.9973 0.9973 0.9973  3 Ir 2.66, 3 Mo 2.78, 6 Zn 2.80
Zn 0.5027 0.5027 0.5027  3 Ir 2.66, 3 Mo 2.78, 6 Zn 2.80

## Properties
**Space-group type**: R-3m, No. 166
**Total energy**: -21.88 eV per cell
**E above lowest polymorph**: 244 meV/atom


3.
First-principles (PBE) data for ZnMoIr2 after structural relaxation, as listed in the Alexandria database.

Lattice parameters (Å, degrees): 6.1333 6.1333 6.2244 60.48 60.48 90.00
Last column: nearest neighbours and their distance in Å.
Atoms (fractional coordinates):
Mo 0.0000 0.0000 0.0000  4 Ir 2.40
Mo 0.7500 0.2500 0.5000  4 Ir 2.40
Ir 0.6360 0.1250 0.2500  2 Mo 2.40, 2 Zn 2.48
Ir 0.1140 0.6250 0.2500  2 Mo 2.40, 2 Zn 2.48
Ir 0.3750 0.3640 0.7500  2 Mo 2.40, 2 Zn 2.48
Ir 0.8750 0.8860 0.7500  2 Mo 2.40, 2 Zn 2.48
Zn 0.5000 0.5000 0.0000  4 Ir 2.48
Zn 0.2500 0.7500 0.5000  4 Ir 2.48

## Properties
**Space-group type**: I-42d, No. 122
**Total energy**: -53.31 eV per cell